1.
## OsWNF2 (GGA-PBEsol)

Data for a geometry-optimized OsWNF2 structure.

Cell lengths 3.738, 4.274, 4.274 Å; angles 90.00, 90.00, 90.00 degrees
Fractional positions:
N: 0.500 0.000 0.000
F: 0.000 0.500 0.000
Os: 0.000 0.000 0.000
F: 0.000 0.000 0.500
W: 0.500 0.500 0.500

Volume   13.7 A^3/atom
Energy relative to the elements, uncorrected   89.2 kJ/mol of atoms
SG   No. 123

2.
## SnAs2IrN (GGA-PBEsol)

Data for a geometry-optimized SnAs2IrN structure.

Cell lengths 4.910, 5.193, 5.193 Å; angles 90.00, 90.00, 90.00 degrees
Fractional positions:
N: 0.500 0.500 0.500
As: 0.000 0.000 0.500
As: 0.000 0.500 0.000
Ir: 0.500 0.000 0.000
Sn: 0.000 0.000 0.000

Volume   26.5 A^3/atom
Energy relative to the elements, uncorrected   234.6 kJ/mol of atoms
SG   No. 123

3.
## CsBi2Ru (GGA-PBEsol)

Data for a geometry-optimized CsBi2Ru structure.

Cell lengths 5.264, 5.264, 5.264 Å; angles 60.00, 60.00, 60.00 degrees
Fractional positions:
Bi: 0.250 0.250 0.250
Ru: 0.000 0.000 0.000
Bi: 0.750 0.750 0.750
Cs: 0.500 0.500 0.500

Volume   25.8 A^3/atom
Energy of formation   0.73 eV per atom
SG   No. 225